# 1
Compound: TaAlTl2
Source: the Alexandria database
Functional: PBE-GGA
Structure: optimized geometry

Lattice parameters (Å, degrees): 3.6290 3.6290 6.8325 90.00 90.00 90.00
Element x y z (fractional)
1 Tl 0.0000 0.0000 0.9762
2 Tl 0.5000 0.5000 0.2625
3 Al 0.0000 0.0000 0.5625
4 Ta 0.5000 0.5000 0.6988

Computed properties:
SG: P4mm (99)
crystal system: tetragonal
final energy: -4.634 eV/atom
energy of formation: 10.332 kcal/mol of atoms

=====

# 2
Compound: TaAlTl2
Source: the Alexandria database
Functional: PBE-GGA
Structure: optimized geometry

Lattice parameters (Å, degrees): 5.3223 6.0629 3.1172 75.18 89.82 115.98
Element x y z (fractional)
1 Ta 0.5000 0.5000 0.0000
2 Tl 0.5000 0.0000 0.5000
3 Tl 0.0000 0.0000 0.0000
4 Al 0.0000 0.5000 0.5000

Computed properties:
SG: C2/m (12)
crystal system: monoclinic
final energy: -4.578 eV/atom
energy of formation: 11.618 kcal/mol of atoms

=====

# 3
Compound: TaAlTl2
Source: the Alexandria database
Functional: PBE-GGA
Structure: optimized geometry

Lattice parameters (Å, degrees): 10.1059 10.1059 10.1059 18.30 18.30 18.30
Element x y z (fractional)
1 Al 0.4925 0.4925 0.4925
2 Tl 0.2441 0.2441 0.2441
3 Tl 0.0066 0.0066 0.0066
4 Ta 0.7567 0.7567 0.7567

Computed properties:
SG: R3m (160)
crystal system: trigonal
final energy: -4.746 eV/atom
energy of formation: 7.749 kcal/mol of atoms

=====

# 4
Compound: TaAlTl2
Source: the Alexandria database
Functional: PBE-GGA
Structure: optimized geometry

Lattice parameters (Å, degrees): 5.5781 5.5781 5.5781 135.99 135.99 64.00
Element x y z (fractional)
1 Ta 0.7500 0.2500 0.5000
2 Al 0.5000 0.5000 0.0000
3 Tl 0.0000 0.0000 0.0000
4 Tl 0.2500 0.7500 0.5000

Computed properties:
SG: I-4m2 (119)
crystal system: tetragonal
final energy: -4.580 eV/atom
energy of formation: 11.584 kcal/mol of atoms

=====

# 5
Compound: TaAlTl2
Source: the Alexandria database
Functional: PBE-GGA
Structure: optimized geometry

Lattice parameters (Å, degrees): 9.7575 9.7575 9.7575 19.06 19.06 19.06
Element x y z (fractional)
1 Tl 0.5004 0.5004 0.5004
2 Tl 0.9996 0.9996 0.9996
3 Al 0.2500 0.2500 0.2500
4 Ta 0.7500 0.7500 0.7500

Computed properties:
SG: R-3m (166)
crystal system: trigonal
final energy: -4.561 eV/atom
energy of formation: 12.017 kcal/mol of atoms

=====

# 6
Compound: U2TaAl6
Source: the Alexandria database
Functional: PBE-GGA
Structure: optimized geometry

Lattice parameters (Å, degrees): 8.1726 8.1726 2.8210 90.00 90.00 120.00
Site moments in Bohr magnetons follow the coordinates.
Element x y z (fractional)
1 Al 0.0000 0.6794 0.5000  -0.01
2 Al 0.6794 0.0000 0.5000  -0.01
3 Al 0.3206 0.0000 0.5000  -0.01
4 Al 0.6794 0.6794 0.5000  -0.01
5 Al 0.3206 0.3206 0.5000  -0.01
6 Al 0.0000 0.3206 0.5000  -0.01
7 U 0.3333 0.6667 0.0000  1.96
8 U 0.6667 0.3333 0.0000  1.96
9 Ta 0.0000 0.0000 0.0000  -0.04

Computed properties:
SG: P6/mmm (191)
crystal system: hexagonal
final energy: -6.425 eV/atom
energy of formation: -2.409 kcal/mol of atoms